PmTcAg: optimized geometry, PBE.

Energy of formation from the pure elements in eV per atom: 0.244
Symmetry: No. 1
Size of the total moment in μB/atom: 0.000

Cell lengths 3.361, 4.597, 8.604 Å; angles 90.07, 90.06, 90.21 degrees
Element x y z (fractional)
Pm1 0.000 0.000 0.000
Pm2 0.001 0.001 0.376
Tc1 0.500 0.500 0.193
Tc2 0.500 0.500 0.929
Ag1 0.499 0.000 0.690
Ag2 0.998 0.500 0.653